Record 1
The following is a PBE-GGA calculation of an optimized crystal structure of Ba2CrInTe5, from Alexandria via LeMat-Bulk.

a = 4.4725 Å, b = 10.5519 Å, c = 13.9402 Å
α = 90.00°, β = 90.00°, γ = 102.24°
Sites, in units of the cell vectors:
Ba  0.8678  0.7356  0.8119
Ba  0.1230  0.2461  0.6865
Ba  0.1322  0.2644  0.3119
Ba  0.8770  0.7539  0.1865
Cr  0.7906  0.5813  0.5238
Cr  0.2094  0.4187  0.0238
In  0.5644  0.1287  0.9353
In  0.4356  0.8713  0.4353
Te  0.3441  0.6881  0.0034
Te  0.7004  0.4007  0.8892
Te  0.4980  0.9959  0.7645
Te  0.2875  0.5750  0.6510
Te  0.9288  0.8576  0.5583
Te  0.6559  0.3119  0.5034
Te  0.2996  0.5993  0.3892
Te  0.5020  0.0041  0.2645
Te  0.7125  0.4250  0.1510
Te  0.0712  0.1424  0.0583

Raw formation energy = -0.882 eV/atom
Space group = Cmc2_1, No. 36
Uncorrected energy = -4.429 eV/atom


Record 2
The following is a PBE-GGA calculation of an optimized crystal structure of Ba2CrIr, from Alexandria via LeMat-Bulk.

a = 3.8112 Å, b = 3.8835 Å, c = 9.4259 Å
α = 65.67°, β = 90.00°, γ = 89.99°
Sites, in units of the cell vectors:
Ba  0.0000  0.0399  0.9599
Ba  0.0000  0.4601  0.5401
Cr  0.5000  0.2500  0.2500
Ir  0.5000  0.7500  0.7500

Excess energy over the best structure of this formula in the dataset = 372 meV/atom
Space group = Pmmm, No. 47
Uncorrected energy = -5.076 eV/atom
Calculated formation energy = 506 meV/atom


Record 3
The following is a PBE-GGA calculation of an optimized crystal structure of BaCr2Ir, from Alexandria via LeMat-Bulk.

a = 10.0888 Å, b = 10.0888 Å, c = 10.0888 Å
α = 17.79°, β = 17.79°, γ = 17.79°
Sites, in units of the cell vectors:
Ba  0.7500  0.7500  0.7500
Cr  0.9814  0.9814  0.9814
Cr  0.5186  0.5186  0.5186
Ir  0.2500  0.2500  0.2500

Excess energy over the best structure of this formula in the dataset = 741 meV/atom
Space group = R-3m, No. 166
Uncorrected energy = -6.489 eV/atom
Calculated formation energy = 1019 meV/atom


Record 4
The following is a PBE-GGA calculation of an optimized crystal structure of Ba2CrIr, from Alexandria via LeMat-Bulk.

a = 4.4953 Å, b = 5.0108 Å, c = 6.4860 Å
α = 67.28°, β = 90.00°, γ = 90.00°
Sites, in units of the cell vectors:
Ba  0.0000  0.9806  0.9137
Ba  0.5000  0.2677  0.3398
Cr  0.0000  0.6629  0.5492
Ir  0.5000  0.5888  0.6973

Excess energy over the best structure of this formula in the dataset = 56 meV/atom
Space group = Amm2, No. 38
Uncorrected energy = -5.393 eV/atom
Calculated formation energy = 189 meV/atom


Record 5
The following is a PBE-GGA calculation of an optimized crystal structure of BaCr2Ir, from Alexandria via LeMat-Bulk.

a = 5.0852 Å, b = 5.0852 Å, c = 3.1781 Å
α = 90.00°, β = 90.00°, γ = 106.46°
Sites, in units of the cell vectors:
Ba  0.0000  0.5000  0.5000
Cr  0.0000  0.0000  0.0000
Cr  0.5000  0.5000  0.0000
Ir  0.5000  0.0000  0.5000

Excess energy over the best structure of this formula in the dataset = 776 meV/atom
Space group = Cmmm, No. 65
Uncorrected energy = -6.454 eV/atom
Calculated formation energy = 1053 meV/atom


Record 6
The following is a PBE-GGA calculation of an optimized crystal structure of BaCr4Ir, from Alexandria via LeMat-Bulk.

a = 5.0820 Å, b = 5.0820 Å, c = 5.0820 Å
α = 60.00°, β = 60.00°, γ = 60.00°
Sites, in units of the cell vectors:
Ba  0.0000  0.0000  0.0000
Cr  0.8724  0.3759  0.3759
Cr  0.3759  0.3759  0.8724
Cr  0.3759  0.8724  0.3759
Cr  0.3759  0.3759  0.3759
Ir  0.7500  0.7500  0.7500

Space group = F-43m, No. 216
Uncorrected energy = -7.258 eV/atom
Calculated formation energy = 955 meV/atom


Record 7
The following is a PBE-GGA calculation of an optimized crystal structure of Ba2CrIr, from Alexandria via LeMat-Bulk.

a = 4.5197 Å, b = 4.5197 Å, c = 9.0280 Å
α = 75.72°, β = 75.72°, γ = 59.67°
Sites, in units of the cell vectors:
Ba  0.9808  0.9808  0.0568
Ba  0.5192  0.5192  0.4432
Cr  0.7500  0.7500  0.7500
Ir  0.2500  0.2500  0.2500

Excess energy over the best structure of this formula in the dataset = 483 meV/atom
Space group = C2/m, No. 12
Uncorrected energy = -4.965 eV/atom
Calculated formation energy = 617 meV/atom


Record 8
The following is a PBE-GGA calculation of an optimized crystal structure of Ba2CrIr, from Alexandria via LeMat-Bulk.

a = 3.6290 Å, b = 3.6290 Å, c = 9.5221 Å
α = 90.00°, β = 90.00°, γ = 90.04°
Sites, in units of the cell vectors:
Ba  0.0000  0.0000  0.9136
Ba  0.5000  0.5000  0.3345
Cr  0.0000  0.0000  0.5954
Ir  0.5000  0.5000  0.6564

Excess energy over the best structure of this formula in the dataset = 229 meV/atom
Space group = P4mm, No. 99
Uncorrected energy = -5.219 eV/atom
Calculated formation energy = 363 meV/atom


Record 9
The following is a PBE-GGA calculation of an optimized crystal structure of BaCr2Ir, from Alexandria via LeMat-Bulk.

a = 4.2270 Å, b = 4.2270 Å, c = 6.4303 Å
α = 70.81°, β = 70.81°, γ = 60.02°
Sites, in units of the cell vectors:
Ba  0.2500  0.2500  0.2500
Cr  0.0603  0.0603  0.8192
Cr  0.4397  0.4397  0.6808
Ir  0.7500  0.7500  0.7500

Excess energy over the best structure of this formula in the dataset = 117 meV/atom
Space group = R-3m, No. 166
Uncorrected energy = -7.113 eV/atom
Calculated formation energy = 394 meV/atom


Record 10
The following is a PBE-GGA calculation of an optimized crystal structure of BaCr2Ir, from Alexandria via LeMat-Bulk.

a = 6.4539 Å, b = 6.4539 Å, c = 6.4539 Å
α = 143.07°, β = 141.76°, γ = 54.21°
Sites, in units of the cell vectors:
Ba  0.2967  0.7967  0.5000
Cr  0.0347  0.0347  0.0000
Cr  0.6307  0.1307  0.5000
Ir  0.5379  0.5379  0.0000

Excess energy over the best structure of this formula in the dataset = 272 meV/atom
Space group = Imm2, No. 44
Uncorrected energy = -6.958 eV/atom
Calculated formation energy = 549 meV/atom


Record 11
The following is a PBE-GGA calculation of an optimized crystal structure of BaCrIr2, from Alexandria via LeMat-Bulk.

a = 4.8209 Å, b = 4.8209 Å, c = 4.8209 Å
α = 60.00°, β = 60.00°, γ = 60.00°
Sites, in units of the cell vectors:
Ba  0.5000  0.5000  0.5000
Cr  0.7500  0.7500  0.7500
Ir  0.0000  0.0000  0.0000
Ir  0.2500  0.2500  0.2500

Excess energy over the best structure of this formula in the dataset = 847 meV/atom
Space group = F-43m, No. 216
Uncorrected energy = -6.407 eV/atom
Calculated formation energy = 910 meV/atom


Record 12
The following is a PBE-GGA calculation of an optimized crystal structure of BaCrIr2, from Alexandria via LeMat-Bulk.

a = 6.8706 Å, b = 5.1998 Å, c = 3.0807 Å
α = 89.96°, β = 63.43°, γ = 121.88°
Sites, in units of the cell vectors:
Ba  0.0000  0.5000  0.5000
Cr  0.5000  0.5000  0.0000
Ir  0.0000  0.0000  0.0000
Ir  0.5000  0.0000  0.5000

Excess energy over the best structure of this formula in the dataset = 733 meV/atom
Space group = Cmmm, No. 65
Uncorrected energy = -6.520 eV/atom
Calculated formation energy = 797 meV/atom


Record 13
The following is a PBE-GGA calculation of an optimized crystal structure of BaCr2Ir, from Alexandria via LeMat-Bulk.

a = 6.2338 Å, b = 6.2338 Å, c = 6.2338 Å
α = 150.21°, β = 127.13°, γ = 61.87°
Sites, in units of the cell vectors:
Ba  0.2500  0.7500  0.5000
Cr  0.9434  0.9434  0.0000
Cr  0.5566  0.5566  0.0000
Ir  0.7500  0.2500  0.5000

Excess energy over the best structure of this formula in the dataset = 540 meV/atom
Space group = Immm, No. 71
Uncorrected energy = -6.690 eV/atom
Calculated formation energy = 818 meV/atom